First-principles (PBE) data for a relaxed Ca2YCd crystal, as listed in the Alexandria database.

Values from the calculation:
* volume: 33.78 Å³ per atom
* ΔH_f (0 K): -26 meV per atom

abc: 3.767 3.767 11.209
angles: 80.33 80.33 60.00
Site moments in Bohr magnetons follow the coordinates.
Fractional coordinates of all 4 atoms:
Ca (0.075, 0.075, 0.775)  0.00
Ca (0.258, 0.258, 0.226)  0.00
Y (0.501, 0.501, 0.498)  0.17
Cd (0.666, 0.666, 0.001)  -0.01



First-principles (PBE) data for a relaxed SrAl2ZnCu4 crystal, as listed in the Alexandria database.

Values from the calculation:
* volume: 17.28 Å³ per atom
* ΔH_f (0 K): -139 meV per atom

abc: 4.201 4.201 9.368
angles: 77.04 77.04 60.00
Fractional coordinates of all 8 atoms:
Sr (0.000, 0.000, 0.000)
Cu (0.869, 0.869, 0.394)
Cu (0.412, 0.412, 0.765)
Cu (0.588, 0.588, 0.235)
Cu (0.131, 0.131, 0.606)
Zn (0.500, 0.500, 0.500)
Al (0.235, 0.235, 0.294)
Al (0.765, 0.765, 0.706)



First-principles (PBE) data for a relaxed SbOs2Pt crystal, as listed in the Alexandria database.

Values from the calculation:
* formation energy from raw total energies: 1.39 eV/f.u.
* volume: 16.95 Å³ per atom

abc: 2.900 2.900 8.066
angles: 90.00 90.00 90.00
Fractional coordinates of all 4 atoms:
Sb (0.500, 0.500, 0.761)
Os (0.000, 0.000, 0.031)
Os (0.500, 0.500, 0.233)
Pt (0.000, 0.000, 0.475)



First-principles (PBE) data for a relaxed K2ScRu crystal, as listed in the Alexandria database.

Values from the calculation:
* distance to the lowest polymorph of the same formula: 0.814 eV per atom
* volume: 26.65 Å³ per atom
* ΔH_f (0 K): 1096 meV per atom

abc: 12.632 12.632 12.632
angles: 14.27 14.27 14.27
Site moments in Bohr magnetons follow the coordinates.
Fractional coordinates of all 4 atoms:
K (0.511, 0.511, 0.511)  -0.01
K (0.989, 0.989, 0.989)  -0.01
Ru (0.250, 0.250, 0.250)  1.08
Sc (0.750, 0.750, 0.750)  0.04



First-principles (PBE) data for a relaxed V2TcHPd crystal, as listed in the Alexandria database.

Values from the calculation:
* distance to the lowest polymorph of the same formula: 0.032 eV per atom
* volume: 11.69 Å³ per atom

abc: 3.973 3.973 3.702
angles: 90.00 90.00 90.00
Fractional coordinates of all 5 atoms:
V (0.000, 0.500, 0.000)
V (0.500, 0.000, 0.000)
H (0.000, 0.000, 0.000)
Tc (0.500, 0.500, 0.500)
Pd (0.000, 0.000, 0.500)



First-principles (PBE) data for a relaxed AlPt3Rh crystal, as listed in the Alexandria database.

Values from the calculation:
* distance to the lowest polymorph of the same formula: 0.000 eV per atom
* volume: 14.96 Å³ per atom
* ΔH_f (0 K): -502 meV per atom

abc: 3.945 3.883 9.964
angles: 90.00 78.58 90.00
Fractional coordinates of all 10 atoms:
Al (0.472, 0.750, 0.705)
Al (0.177, 0.250, 0.295)
Pt (0.380, 0.250, 0.888)
Pt (0.773, 0.250, 0.103)
Pt (0.572, 0.250, 0.505)
Pt (0.876, 0.750, 0.897)
Pt (0.077, 0.750, 0.495)
Pt (0.268, 0.750, 0.112)
Rh (0.976, 0.250, 0.696)
Rh (0.672, 0.750, 0.304)